# 1
Below is an optimized crystal structure of Hf3Ta2Al4, with properties calculated at the PBE-GGA level.

abc: 4.518 5.654 8.537
angles: 120.14 90.00 113.55
Fractional coordinates of all 9 atoms:
Al1 0.959 0.917 0.625
Al2 0.303 0.605 0.964
Al3 0.041 0.083 0.375
Al4 0.697 0.395 0.036
Hf1 0.000 0.000 0.000
Hf2 0.663 0.325 0.675
Hf3 0.337 0.675 0.325
Ta1 0.649 0.299 0.318
Ta2 0.351 0.701 0.682

Values from the calculation:
* formation energy: -0.231 eV per atom

# 2
Below is an optimized crystal structure of Cu3Sb, with properties calculated at the PBE-GGA level.

abc: 3.959 3.953 4.743
angles: 114.62 114.66 90.00
Fractional coordinates of all 4 atoms:
Cu1 0.250 0.667 0.500
Cu2 0.750 0.167 0.500
Cu3 0.500 0.417 0.000
Sb1 0.000 0.917 0.000

Values from the calculation:
* formation energy (no corrections): 101 meV per atom

# 3
Below is an optimized crystal structure of Cu3OsBr2F6, with properties calculated at the PBE-GGA level.

abc: 4.893 6.220 7.502
angles: 114.49 95.62 90.00
Last column: magnetic moment on the atom in μB.
Fractional coordinates of all 12 atoms:
F1 0.670 0.877 0.755  0.10
F2 0.254 0.720 0.893  0.10
F3 0.330 0.123 0.245  0.10
F4 0.746 0.827 0.107  0.10
F5 0.746 0.280 0.107  0.10
F6 0.254 0.173 0.893  0.10
Br1 0.181 0.683 0.366  0.03
Br2 0.819 0.317 0.634  0.03
Cu1 0.500 0.500 0.500  0.11
Cu2 0.500 0.000 0.500  0.11
Cu3 0.000 0.500 0.000  0.23
Os1 0.500 0.000 0.000  1.85

Values from the calculation:
* formation energy (no corrections): -1136 meV per atom

# 4
Below is an optimized crystal structure of CrAgSe2, with properties calculated at the PBE-GGA level.

abc: 7.371 7.371 7.371
angles: 29.57 29.57 29.57
Last column: magnetic moment on the atom in μB.
Fractional coordinates of all 4 atoms:
Cr1 0.000 0.000 0.000  2.99
Se1 0.272 0.272 0.272  -0.12
Se2 0.733 0.733 0.733  -0.07
Ag1 0.151 0.151 0.151  0.00

Values from the calculation:
* formation energy (no corrections): -358 meV per atom

Number 1: VASP energy -7.846 eV per atom. Number 2: VASP energy -4.002 eV per atom. Number 3: VASP energy -4.310 eV per atom. Number 4: VASP energy -5.219 eV per atom.